[1]
This record from Alexandria via LeMat-Bulk describes Ca2Nd6Tm3 after structural relaxation. The functional is PBE.

Output
Energy of formation (eV/atom): 0.031

CIF file:
```
data_Ca2Nd6Tm3
_space_group_name_H-M_alt 'R -3 m'
_space_group_IT_number 166
_space_group_name_Hall '-R 3 2"'
_cell_length_a 3.6448
_cell_length_b 3.6448
_cell_length_c 99.1553
_cell_angle_alpha 90.00
_cell_angle_beta 90.00
_cell_angle_gamma 120.00
loop_
_atom_site_label
_atom_site_type_symbol
_atom_site_fract_x
_atom_site_fract_y
_atom_site_fract_z
Ca1 Ca 0.0000 0.0000 0.0472
Nd1 Nd 0.0000 0.0000 0.1377
Nd2 Nd 0.0000 0.0000 0.3187
Nd3 Nd 0.0000 0.0000 0.4132
Tm1 Tm 0.0000 0.0000 0.2250
Tm2 Tm 0.0000 0.0000 0.5000
```

[2]
This record from Alexandria via LeMat-Bulk describes SrCuIr2 after structural relaxation. The functional is PBE.

Output
Polymorph energy (0 for the lowest one) (eV per atom): 0.0148
Energy of formation (eV/atom): 0.205

CIF file:
```
data_SrCuIr2
_space_group_name_H-M_alt 'P m m 2'
_space_group_IT_number 25
_cell_length_a 2.874
_cell_length_b 3.817
_cell_length_c 6.843
_cell_angle_alpha 90.00
_cell_angle_beta 90.00
_cell_angle_gamma 90.00
loop_
_space_group_symop_operation_xyz
'x,y,z'
'-x,-y,z'
'-x,y,z'
'x,-y,z'
loop_
_atom_site_label
_atom_site_type_symbol
_atom_site_fract_x
_atom_site_fract_y
_atom_site_fract_z
Sr1 Sr 0.000 0.000 0.000
Cu1 Cu 0.500 0.500 0.310
Ir1 Ir 0.000 0.000 0.521
Ir2 Ir 0.500 0.500 0.677
```

[3]
This record from Alexandria via LeMat-Bulk describes SrGa2TeIr after structural relaxation. The functional is PBE.

Output
Uncorrected formation energy (eV per atom): -0.559

CIF file:
```
data_SrGa2TeIr
_space_group_name_H-M_alt 'P 4/m m m'
_space_group_IT_number 123
_space_group_name_Hall '-P 4 2'
_cell_length_a 4.825
_cell_length_b 4.825
_cell_length_c 5.987
_cell_angle_alpha 90.00
_cell_angle_beta 90.00
_cell_angle_gamma 90.00
loop_
_atom_site_label
_atom_site_type_symbol
_atom_site_fract_x
_atom_site_fract_y
_atom_site_fract_z
Sr1 Sr 0.000 0.000 0.000
Ga1 Ga 0.000 0.500 0.500
Te1 Te 0.500 0.500 0.000
Ir1 Ir 0.000 0.000 0.500
```

[4]
This record from Alexandria via LeMat-Bulk describes CsIn2Te2 after structural relaxation. The functional is PBE.

Output
Polymorph energy (0 for the lowest one) (eV per atom): 0.0712
Uncorrected formation energy (eV per atom): -0.429

CIF file:
```
data_CsIn2Te2
_space_group_name_H-M_alt 'C 1 2/m 1'
_space_group_IT_number 12
_cell_length_a 7.898
_cell_length_b 14.307
_cell_length_c 7.927
_cell_angle_alpha 90.00
_cell_angle_beta 119.58
_cell_angle_gamma 90.00
loop_
_space_group_symop_operation_xyz
'x,y,z'
'-x,-y,-z'
'-x,y,-z'
'x,-y,z'
'x+1/2,y+1/2,z'
'-x+1/2,-y+1/2,-z'
'-x+1/2,y+1/2,-z'
'x+1/2,-y+1/2,z'
loop_
_atom_site_label
_atom_site_type_symbol
_atom_site_fract_x
_atom_site_fract_y
_atom_site_fract_z
Cs1 Cs 0.000 0.239 0.000
In1 In 0.000 0.113 0.500
In2 In 0.063 0.500 0.300
Te1 Te 0.000 0.331 0.500
Te2 Te 0.194 0.000 0.926
```

[5]
This record from Alexandria via LeMat-Bulk describes Ba2Pt after structural relaxation. The functional is PBE.

Output
Energy of formation (eV/atom): -0.372

CIF file:
```
data_Ba2Pt
_space_group_name_H-M_alt 'P 63/m m c'
_space_group_IT_number 194
_space_group_name_Hall '-P 6c 2c'
_cell_length_a 5.5723
_cell_length_b 5.5723
_cell_length_c 7.8122
_cell_angle_alpha 90.00
_cell_angle_beta 90.00
_cell_angle_gamma 120.00
loop_
_atom_site_label
_atom_site_type_symbol
_atom_site_fract_x
_atom_site_fract_y
_atom_site_fract_z
Ba1 Ba 0.0000 0.0000 0.0000
Ba2 Ba 0.3333 0.6667 0.2500
Pt1 Pt 0.3333 0.6667 0.7500
```

[6]
This record from Alexandria via LeMat-Bulk describes YNiH2 after structural relaxation. The functional is PBE.

Output
Polymorph energy (0 for the lowest one) (eV per atom): 0.2519

CIF file:
```
data_YNiH2
_space_group_name_H-M_alt 'F m -3 m'
_space_group_IT_number 225
_space_group_name_Hall '-F 4 2 3'
_cell_length_a 5.588
_cell_length_b 5.588
_cell_length_c 5.588
_cell_angle_alpha 90.00
_cell_angle_beta 90.00
_cell_angle_gamma 90.00
loop_
_atom_site_label
_atom_site_type_symbol
_atom_site_fract_x
_atom_site_fract_y
_atom_site_fract_z
Y1 Y 0.000 0.000 0.000
Ni1 Ni 0.000 0.000 0.500
H1 H 0.250 0.250 0.250
```

[7]
This record from Alexandria via LeMat-Bulk describes MgCr2Ag after structural relaxation. The functional is PBE.

Output
Energy of formation (eV/atom): 0.319

CIF file:
```
data_MgCr2Ag
_space_group_name_H-M_alt 'R 3 m'
_space_group_IT_number 160
_space_group_name_Hall 'R 3 -2"'
_cell_length_a 2.8871
_cell_length_b 2.8871
_cell_length_c 25.9925
_cell_angle_alpha 90.00
_cell_angle_beta 90.00
_cell_angle_gamma 120.00
loop_
_atom_site_label
_atom_site_type_symbol
_atom_site_fract_x
_atom_site_fract_y
_atom_site_fract_z
Mg1 Mg 0.0000 0.0000 0.0000
Cr1 Cr 0.0000 0.0000 0.2411
Cr2 Cr 0.0000 0.0000 0.5173
Ag1 Ag 0.0000 0.0000 0.7593
```

[8]
This record from Alexandria via LeMat-Bulk describes TlIn2Os after structural relaxation. The functional is PBE.

Output
Polymorph energy (0 for the lowest one) (eV per atom): 0.4134
Energy of formation (eV/atom): 0.773

CIF file:
```
data_TlIn2Os
_space_group_name_H-M_alt 'P 4/m m m'
_space_group_IT_number 123
_space_group_name_Hall '-P 4 2'
_cell_length_a 4.285
_cell_length_b 4.285
_cell_length_c 4.528
_cell_angle_alpha 90.00
_cell_angle_beta 90.00
_cell_angle_gamma 90.00
loop_
_atom_site_label
_atom_site_type_symbol
_atom_site_fract_x
_atom_site_fract_y
_atom_site_fract_z
Tl1 Tl 0.000 0.000 0.000
In1 In 0.000 0.500 0.500
Os1 Os 0.500 0.500 0.000
```

[9]
This record from Alexandria via LeMat-Bulk describes Li2CdCuC after structural relaxation. The functional is PBE.

Output
Energy of formation (eV/atom): 0.483

CIF file:
```
data_Li2CdCuC
_space_group_name_H-M_alt 'P 4/m m m'
_space_group_IT_number 123
_space_group_name_Hall '-P 4 2'
_cell_length_a 4.836
_cell_length_b 4.836
_cell_length_c 3.563
_cell_angle_alpha 90.00
_cell_angle_beta 90.00
_cell_angle_gamma 90.00
loop_
_atom_site_label
_atom_site_type_symbol
_atom_site_fract_x
_atom_site_fract_y
_atom_site_fract_z
Li1 Li 0.000 0.500 0.000
Cd1 Cd 0.000 0.000 0.500
Cu1 Cu 0.500 0.500 0.000
C1 C 0.500 0.500 0.500
```

[10]
This record from Alexandria via LeMat-Bulk describes LaPu3Pt8 after structural relaxation. The functional is PBE.

Output
Energy of formation (eV/atom): -0.840

CIF file:
```
data_LaPu3Pt8
_space_group_name_H-M_alt 'P 3 m 1'
_space_group_IT_number 156
_cell_length_a 5.4681
_cell_length_b 5.4681
_cell_length_c 9.0388
_cell_angle_alpha 90.00
_cell_angle_beta 90.00
_cell_angle_gamma 120.00
loop_
_space_group_symop_operation_xyz
'x,y,z'
'-y,x-y,z'
'-x+y,-x,z'
'-y,-x,z'
'-x+y,y,z'
'x,x-y,z'
loop_
_atom_site_label
_atom_site_type_symbol
_atom_site_fract_x
_atom_site_fract_y
_atom_site_fract_z
La1 La 0.0000 0.0000 0.0000
Pu1 Pu 0.0000 0.0000 0.3791
Pu2 Pu 0.6667 0.3333 0.4854
Pu3 Pu 0.6667 0.3333 0.8584
Pt1 Pt 0.1652 0.3304 0.6792
Pt2 Pt 0.3333 0.6667 0.4304
Pt3 Pt 0.3333 0.6667 0.9296
Pt4 Pt 0.5021 0.0041 0.1829
```

[11]
This record from Alexandria via LeMat-Bulk describes La4SiHgN after structural relaxation. The functional is PBE.

Output
Uncorrected formation energy (eV per atom): -0.712

CIF file:
```
data_La4SiHgN
_space_group_name_H-M_alt 'C m c m'
_space_group_IT_number 63
_space_group_name_Hall '-C 2c 2'
_cell_length_a 7.002
_cell_length_b 16.232
_cell_length_c 7.005
_cell_angle_alpha 90.00
_cell_angle_beta 90.00
_cell_angle_gamma 90.00
loop_
_atom_site_label
_atom_site_type_symbol
_atom_site_fract_x
_atom_site_fract_y
_atom_site_fract_z
La1 La 0.000 0.067 0.250
La2 La 0.000 0.419 0.250
La3 La 0.250 0.250 0.000
Si1 Si 0.000 0.118 0.750
Hg1 Hg 0.000 0.386 0.750
N1 N 0.000 0.270 0.250
```

[12]
This record from Alexandria via LeMat-Bulk describes Ac2Tl3In after structural relaxation. The functional is PBE.

Output
Polymorph energy (0 for the lowest one) (eV per atom): 0.0000
Energy of formation (eV/atom): -0.314

CIF file:
```
data_Ac2Tl3In
_space_group_name_H-M_alt 'F m m m'
_space_group_IT_number 69
_space_group_name_Hall '-F 2 2'
_cell_length_a 7.710
_cell_length_b 10.724
_cell_length_c 18.672
_cell_angle_alpha 90.00
_cell_angle_beta 90.00
_cell_angle_gamma 90.00
loop_
_atom_site_label
_atom_site_type_symbol
_atom_site_fract_x
_atom_site_fract_y
_atom_site_fract_z
Ac1 Ac 0.248 0.000 0.000
Ac2 Ac 0.250 0.250 0.250
Tl1 Tl 0.000 0.000 0.168
Tl2 Tl 0.000 0.247 0.416
In1 In 0.000 0.000 0.334
```